Record 1
VASP calculation (PBE-GGA) on a relaxed structure of Na2SmCdSn2.

abc: 4.8448 7.6205 9.1674
angles: 90.00 90.00 90.00
With the nearest neighbours (Å) after each atom.
Fractional coordinates of all 12 atoms:
Na 0.5000 0.5309 0.9275  3 Sn 3.30-3.37, 4 Na 3.46-3.57, 2 Cd 3.61-3.63
Sn 0.5000 0.7689 0.6182  2 Cd 2.96-3.00, 2 Na 3.18, 4 Sm 3.28-3.29
Sm 0.0000 0.4962 0.5352  5 Sn 3.23-3.29, 2 Cd 3.40
Na 0.0000 0.8357 0.8368  4 Sn 3.12-3.25, 2 Na 3.46
Na 0.0000 0.3357 0.1632  4 Sn 3.12-3.25, 2 Na 3.46
Sm 0.0000 0.9962 0.4648  5 Sn 3.23-3.29, 2 Cd 3.40
Cd 0.5000 0.1524 0.6899  4 Sn 2.86-3.00
Sn 0.5000 0.2689 0.3818  2 Cd 2.96-3.00, 2 Na 3.18, 4 Sm 3.28-3.29
Na 0.5000 0.0309 0.0725  3 Sn 3.30-3.37, 4 Na 3.46-3.57, 2 Cd 3.61-3.63
Sn 0.0000 0.7614 0.1720  2 Cd 2.86, 1 Na 3.12
Sn 0.0000 0.2614 0.8280  2 Cd 2.86, 1 Na 3.12
Cd 0.5000 0.6524 0.3101  4 Sn 2.86-3.00

As for the magnetic moment: 0.000 μB per formula unit. Its symmetry is Pmc2_1 (26).

Record 2
VASP calculation (PBE-GGA) on a relaxed structure of NaSmZnCd.

abc: 5.1674 5.1674 5.1674
angles: 60.00 60.00 60.00
With the nearest neighbours (Å) after each atom.
Fractional coordinates of all 4 atoms:
Cd 0.7500 0.7500 0.7500  4 Sm 3.16, 4 Na 3.16
Sm 0.0000 0.0000 0.0000  4 Cd 3.16, 4 Zn 3.16
Na 0.5000 0.5000 0.5000  4 Zn 3.16, 4 Cd 3.16
Zn 0.2500 0.2500 0.2500  4 Na 3.16, 4 Sm 3.16

As for the magnetic moment: 0.000 μB per formula unit. Its symmetry is F-43m (216).

Record 3
VASP calculation (PBE-GGA) on a relaxed structure of Na16Cd12Sn.

abc: 9.9664 9.9664 10.2140
angles: 109.45 109.45 108.31
With the nearest neighbours (Å) after each atom.
Fractional coordinates of all 29 atoms:
Na 0.3588 0.3588 0.3279  1 Sn 3.28, 3 Na 3.36-3.61, 6 Cd 3.37-3.62
Na 0.6698 0.4222 0.0137  5 Cd 3.21-3.48, 4 Na 3.38-3.59, 1 Sn 3.39
Na 0.9930 0.9930 0.6465  4 Na 3.27-3.60, 6 Cd 3.38-3.54, 1 Sn 3.51
Cd 0.9983 0.1857 0.3561  3 Cd 2.95-3.03
Na 0.0048 0.6853 0.4107  5 Cd 3.24-3.54, 6 Na 3.27-3.63, 1 Sn 3.29
Cd 0.8186 0.8186 0.1887  3 Cd 3.00-3.03, 1 Sn 3.12, 4 Na 3.29-3.33
Na 0.3037 0.3037 0.7072  7 Na 3.31-3.48, 5 Cd 3.34-3.45
Cd 0.3505 0.1698 0.9818  3 Cd 2.92-3.03, 1 Na 3.21
Na 0.4222 0.6698 0.0137  5 Cd 3.21-3.48, 4 Na 3.38-3.59, 1 Sn 3.39
Cd 0.8242 0.6369 0.6413  3 Cd 2.96-3.04, 1 Sn 3.13, 1 Na 3.27
Cd 0.3664 0.0002 0.1792  3 Cd 2.95-3.03, 1 Na 3.24
Na 0.9960 0.9960 0.0012  12 Cd 3.41-3.57, 4 Na 3.56-3.61
Na 0.7128 0.3253 0.3095  5 Cd 3.27-3.51, 6 Na 3.35-3.63, 1 Sn 3.39
Cd 0.0002 0.3664 0.1792  3 Cd 2.95-3.03, 1 Na 3.24
Na 0.6395 0.9984 0.0011  4 Na 3.32-3.56, 6 Cd 3.39-3.55
Cd 0.8026 0.1820 0.8201  3 Cd 2.96-3.03, 1 Na 3.28
Na 0.4044 0.9945 0.6795  5 Cd 3.31-3.45, 6 Na 3.32-3.55
Cd 0.1820 0.8026 0.8201  3 Cd 2.96-3.03, 1 Na 3.28
Cd 0.1698 0.3505 0.9818  3 Cd 2.92-3.03, 1 Na 3.21
Cd 0.6461 0.6461 0.8316  3 Cd 3.00-3.04, 4 Na 3.34-3.36
Na 0.3253 0.7128 0.3095  5 Cd 3.27-3.51, 6 Na 3.35-3.63, 1 Sn 3.39
Sn 0.6398 0.6398 0.3277  3 Cd 3.12-3.13, 7 Na 3.28-3.39
Na 0.2840 0.5862 0.5917  5 Cd 3.28-3.55, 6 Na 3.36-3.60
Cd 0.6369 0.8242 0.6413  3 Cd 2.96-3.04, 1 Sn 3.13, 1 Na 3.27
Na 0.6853 0.0048 0.4107  5 Cd 3.24-3.54, 6 Na 3.27-3.63, 1 Sn 3.29
Na 0.5862 0.2840 0.5917  5 Cd 3.28-3.55, 6 Na 3.36-3.60
Na 0.9984 0.6395 0.0011  4 Na 3.32-3.56, 6 Cd 3.39-3.55
Na 0.9945 0.4044 0.6795  5 Cd 3.31-3.45, 6 Na 3.32-3.55
Cd 0.1857 0.9983 0.3561  3 Cd 2.95-3.03

As for the magnetic moment: 0.000 μB per formula unit. Its symmetry is Cm (8).

Record 4
VASP calculation (PBE-GGA) on a relaxed structure of Na2CdSn.

abc: 5.0598 5.0598 10.0866
angles: 90.00 90.00 120.00
With the nearest neighbours (Å) after each atom.
Fractional coordinates of all 8 atoms:
Na 0.6667 0.3333 0.5812  4 Sn 3.34-3.38, 4 Na 3.35-3.40, 3 Cd 3.38
Cd 0.0000 0.0000 0.2500  3 Sn 2.92
Sn 0.6667 0.3333 0.2500  3 Cd 2.92
Na 0.6667 0.3333 0.9188  4 Sn 3.34-3.38, 4 Na 3.35-3.40, 3 Cd 3.38
Na 0.3333 0.6667 0.4188  4 Sn 3.34-3.38, 4 Na 3.35-3.40, 3 Cd 3.38
Sn 0.3333 0.6667 0.7500  3 Cd 2.92
Cd 0.0000 0.0000 0.7500  3 Sn 2.92
Na 0.3333 0.6667 0.0812  4 Sn 3.34-3.38, 4 Na 3.35-3.40, 3 Cd 3.38

As for the magnetic moment: 0.000 μB per formula unit. Its symmetry is P6_3/mmc (194).

Record 5
VASP calculation (PBE-GGA) on a relaxed structure of NaCd2Sn2.

abc: 5.7631 5.8024 8.5644
angles: 82.99 71.10 68.86
With the nearest neighbours (Å) after each atom.
Fractional coordinates of all 10 atoms:
Cd 0.3436 0.2541 0.3078  3 Na 3.22-3.28, 7 Sn 3.24-3.38, 2 Cd 3.31-3.36
Sn 0.4474 0.7551 0.0939  3 Sn 3.24-3.37, 7 Cd 3.25-3.38, 2 Na 3.29-3.33
Sn 0.2422 0.7505 0.5097  5 Cd 3.16-3.35, 3 Sn 3.25-3.37, 4 Na 3.30-3.38
Cd 0.9481 0.2554 0.1003  5 Sn 3.16-3.32, 3 Na 3.21-3.32, 4 Cd 3.28-3.38
Na 0.1526 0.2459 0.7046  6 Cd 3.21-3.32, 6 Sn 3.29-3.38
Cd 0.6564 0.7459 0.6922  3 Na 3.22-3.28, 7 Sn 3.24-3.38, 2 Cd 3.31-3.36
Sn 0.7578 0.2495 0.4903  5 Cd 3.16-3.35, 3 Sn 3.25-3.37, 4 Na 3.30-3.38
Sn 0.5526 0.2449 0.9061  3 Sn 3.24-3.37, 7 Cd 3.25-3.38, 2 Na 3.29-3.33
Na 0.8474 0.7541 0.2954  6 Cd 3.21-3.32, 6 Sn 3.29-3.38
Cd 0.0519 0.7446 0.8997  5 Sn 3.16-3.32, 3 Na 3.21-3.32, 4 Cd 3.28-3.38

As for the magnetic moment: 0.000 μB per formula unit. The calculation puts the distance to the lowest polymorph of the same formula at 25 meV per atom. Its symmetry is P-1 (2).

Record 6
VASP calculation (PBE-GGA) on a relaxed structure of NaCd2Sn.

abc: 4.3772 4.3772 11.2478
angles: 90.00 90.00 90.00
With the nearest neighbours (Å) after each atom.
Fractional coordinates of all 8 atoms:
Sn 0.5000 0.0000 0.6810  5 Cd 2.99-3.07, 4 Na 3.25
Na 0.5000 0.0000 0.2316  1 Cd 3.12, 4 Sn 3.25
Cd 0.0000 0.0000 0.5000  4 Sn 2.99, 4 Cd 3.10
Na 0.0000 0.5000 0.7684  1 Cd 3.12, 4 Sn 3.25
Cd 0.0000 0.5000 0.0459  1 Sn 3.07, 1 Na 3.12, 4 Cd 3.26
Sn 0.0000 0.5000 0.3190  5 Cd 2.99-3.07, 4 Na 3.25
Cd 0.5000 0.5000 0.5000  4 Sn 2.99, 4 Cd 3.10
Cd 0.5000 0.0000 0.9541  1 Sn 3.07, 1 Na 3.12, 4 Cd 3.26

As for the magnetic moment: 0.000 μB per formula unit. Its symmetry is P4/nmm (129).

Record 7
VASP calculation (PBE-GGA) on a relaxed structure of Na6Cd3Sn.

abc: 8.3236 8.3236 8.3236
angles: 90.48 90.48 90.48
With the nearest neighbours (Å) after each atom.
Fractional coordinates of all 20 atoms:
Na 0.1314 0.4609 0.3390  2 Cd 3.34-3.43, 1 Sn 3.35, 7 Na 3.37-3.60
Sn 0.5000 0.5000 0.5000  12 Na 3.35-3.40
Na 0.3390 0.1314 0.4609  2 Cd 3.34-3.43, 1 Sn 3.35, 7 Na 3.37-3.60
Na 0.7651 0.6367 0.2227  4 Cd 3.17-3.41, 3 Na 3.37-3.52, 1 Sn 3.40
Na 0.3633 0.7773 0.2349  4 Cd 3.17-3.41, 3 Na 3.37-3.52, 1 Sn 3.40
Cd 0.9875 0.0988 0.6497  1 Cd 2.98, 1 Sn 3.04, 4 Na 3.17-3.34
Na 0.5391 0.6610 0.8686  2 Cd 3.34-3.43, 1 Sn 3.35, 7 Na 3.37-3.60
Na 0.8686 0.5391 0.6610  2 Cd 3.34-3.43, 1 Sn 3.35, 7 Na 3.37-3.60
Cd 0.0125 0.9012 0.3503  1 Cd 2.98, 1 Sn 3.04, 4 Na 3.17-3.34
Na 0.6610 0.8686 0.5391  2 Cd 3.34-3.43, 1 Sn 3.35, 7 Na 3.37-3.60
Cd 0.3503 0.0125 0.9012  1 Cd 2.98, 1 Sn 3.04, 4 Na 3.17-3.34
Cd 0.9012 0.3503 0.0125  1 Cd 2.98, 1 Sn 3.04, 4 Na 3.17-3.34
Na 0.2227 0.7651 0.6367  4 Cd 3.17-3.41, 3 Na 3.37-3.52, 1 Sn 3.40
Na 0.7773 0.2349 0.3633  4 Cd 3.17-3.41, 3 Na 3.37-3.52, 1 Sn 3.40
Cd 0.0988 0.6497 0.9875  1 Cd 2.98, 1 Sn 3.04, 4 Na 3.17-3.34
Na 0.4609 0.3390 0.1314  2 Cd 3.34-3.43, 1 Sn 3.35, 7 Na 3.37-3.60
Sn 0.0000 0.0000 0.0000  6 Cd 3.04
Na 0.6367 0.2227 0.7651  4 Cd 3.17-3.41, 3 Na 3.37-3.52, 1 Sn 3.40
Na 0.2349 0.3633 0.7773  4 Cd 3.17-3.41, 3 Na 3.37-3.52, 1 Sn 3.40
Cd 0.6497 0.9875 0.0988  1 Cd 2.98, 1 Sn 3.04, 4 Na 3.17-3.34

As for the magnetic moment: 0.000 μB per formula unit. Its symmetry is R-3 (148).

Record 8
VASP calculation (PBE-GGA) on a relaxed structure of NaCd4Sn4.

abc: 4.5675 7.4431 7.4431
angles: 84.60 72.13 72.13
With the nearest neighbours (Å) after each atom.
Fractional coordinates of all 9 atoms:
Sn 0.3295 0.3411 0.9999  4 Sn 3.21-3.42, 6 Cd 3.30-3.33, 2 Na 3.32
Cd 0.6576 0.3424 0.3424  5 Cd 3.16-3.19, 6 Sn 3.30-3.33, 1 Na 3.43
Sn 0.6706 0.9999 0.6589  4 Sn 3.21-3.42, 6 Cd 3.30-3.33, 2 Na 3.32
Sn 0.3294 0.0001 0.3411  4 Sn 3.21-3.42, 6 Cd 3.30-3.33, 2 Na 3.32
Cd 0.3424 0.6576 0.6576  5 Cd 3.16-3.19, 6 Sn 3.30-3.33, 1 Na 3.43
Cd 0.0000 0.3424 0.6576  5 Cd 3.16-3.19, 6 Sn 3.30-3.33, 1 Na 3.43
Sn 0.6705 0.6589 0.0001  4 Sn 3.21-3.42, 6 Cd 3.30-3.33, 2 Na 3.32
Na 0.0000 0.0000 0.0000  8 Sn 3.32, 4 Cd 3.43
Cd 0.0000 0.6576 0.3424  5 Cd 3.16-3.19, 6 Sn 3.30-3.33, 1 Na 3.43

As for the magnetic moment: 0.000 μB per formula unit. The calculation puts the distance to the lowest polymorph of the same formula at 0 meV per atom. Its symmetry is I4/mmm (139).

Record 9
VASP calculation (PBE-GGA) on a relaxed structure of Na2Cd3Sn2.

abc: 4.6843 6.3234 7.7858
angles: 114.65 90.00 111.74
With the nearest neighbours (Å) after each atom.
Fractional coordinates of all 7 atoms:
Cd 0.5952 0.1904 0.4338  2 Cd 2.85-3.04, 3 Sn 2.99-3.06
Cd 0.5000 0.0000 0.0000  4 Sn 2.98, 2 Cd 3.04
Cd 0.4048 0.8096 0.5662  2 Cd 2.85-3.04, 3 Sn 2.99-3.06
Sn 0.8524 0.7048 0.7729  5 Cd 2.98-3.06
Sn 0.1476 0.2952 0.2271  5 Cd 2.98-3.06
Na 0.1469 0.2939 0.7819  4 Sn 3.39-3.46, 7 Cd 3.42-3.74
Na 0.8531 0.7061 0.2181  4 Sn 3.39-3.46, 7 Cd 3.42-3.74

As for the magnetic moment: 0.000 μB per formula unit. The calculation puts the distance to the lowest polymorph of the same formula at 0 meV per atom. Its symmetry is C2/m (12).

no.,E_form (eV/atom),density (Mg/m³)
1,-0.356,5.4
2,-0.124,6.0
3,-0.097,3.8
4,-0.212,4.1
5,-0.057,6.4
6,-0.063,5.6
7,-0.065,3.4
8,-0.003,6.9
9,-0.098,5.4